Arrangement one

A plane-wave DFT calculation with PBE was carried out for a relaxed Sr2IrOs crystal.

The structure belongs to space group Pmm2 (No. 25); the cell edges are 3.104, 3.869 and 8.963 Å and the angles 90.00°, 90.00° and 90.00°. Symmetry generates all atoms from Sr at (0.000, 0.000, 0.000), Sr at (0.500, 0.500, 0.413), Ir at (0.000, 0.000, 0.660) and Os at (0.500, 0.500, 0.749).

As for the crystal system: orthorhombic. The density of states at the Fermi level is 4.34 states/eV/cell. The calculation puts the volume at 107.66 Å³ per cell.

***

Arrangement two

A plane-wave DFT calculation with PBE was carried out for a relaxed Sr2IrOs crystal.

The structure belongs to space group F-43m (No. 216); the cell edges are 7.075, 7.075 and 7.075 Å and the angles 90.00°, 90.00° and 90.00°. Symmetry generates all atoms from Sr at (0.000, 0.000, 0.000), Sr at (0.250, 0.250, 0.250), Ir at (0.250, 0.250, 0.750) and Os at (0.000, 0.000, 0.500).

As for the crystal system: cubic. The density of states at the Fermi level is 24.15 states/eV/cell. The calculation puts the volume at 354.18 Å³ per cell.

***

Which is most stable, and by how much? arrangement one, by 42.2 kJ/mol of atoms.

***

Arrangement one

A plane-wave DFT calculation with PBE was carried out for a relaxed Sr2IrOs crystal.

The structure belongs to space group I-42d (No. 122); the cell edges are 11.098, 11.098 and 4.743 Å and the angles 90.00°, 90.00° and 90.00°. Symmetry generates all atoms from Sr at (0.076, 0.250, 0.125), Ir at (0.000, 0.000, 0.000) and Os at (0.000, 0.000, 0.500).

As for the crystal system: tetragonal. The density of states at the Fermi level is 15.59 states/eV/cell. The calculation puts the volume at 584.15 Å³ per cell.

***

Arrangement two

A plane-wave DFT calculation with PBE was carried out for a relaxed Sr2IrOs crystal.

The structure belongs to space group R-3m (No. 166, hexagonal axes); the cell edges are 3.2812, 3.2812 and 28.5785 Å and the angles 90.00°, 90.00° and 120.00°. Symmetry generates all atoms from Sr at (0.0000, 0.0000, 0.2491), Ir at (0.0000, 0.0000, 0.5000) and Os at (0.0000, 0.0000, 0.0000).

As for the crystal system: trigonal. The density of states at the Fermi level is 13.53 states/eV/cell. The calculation puts the volume at 266.46 Å³ per cell.

***

Arrangement three

A plane-wave DFT calculation with PBE was carried out for a relaxed Sr2IrOs crystal.

The structure belongs to space group P4/mmm (No. 123); the cell edges are 3.207, 3.207 and 8.843 Å and the angles 90.00°, 90.00° and 90.00°. Symmetry generates all atoms from Sr at (0.000, 0.000, 0.238), Ir at (0.500, 0.500, 0.000) and Os at (0.500, 0.500, 0.500).

As for the crystal system: tetragonal. The density of states at the Fermi level is 2.49 states/eV/cell. The calculation puts the volume at 90.93 Å³ per cell.

***

Which is most stable, and by how much? arrangement one, by 18.1 kJ/mol of atoms.

***

Arrangement one

A plane-wave DFT calculation with PBE was carried out for a relaxed Sr2Ir2Os crystal.

The structure belongs to space group I4/mmm (No. 139); the cell edges are 6.033, 6.033 and 7.232 Å and the angles 90.00°, 90.00° and 90.00°. Symmetry generates all atoms from Sr at (0.000, 0.500, 0.250), Ir at (0.000, 0.000, 0.171) and Os at (0.000, 0.000, 0.500).

As for the crystal system: tetragonal. The density of states at the Fermi level is 8.19 states/eV/cell. The calculation puts the volume at 263.22 Å³ per cell.

***

Arrangement two

A plane-wave DFT calculation with PBE was carried out for a relaxed Sr2Ir2Os crystal.

The structure belongs to space group P4/mbm (No. 127); the cell edges are 6.657, 6.657 and 4.997 Å and the angles 90.00°, 90.00° and 90.00°. Symmetry generates all atoms from Sr at (0.180, 0.320, 0.000), Ir at (0.137, 0.637, 0.500) and Os at (0.000, 0.000, 0.500).

As for the crystal system: tetragonal. The density of states at the Fermi level is 11.68 states/eV/cell. The calculation puts the volume at 221.47 Å³ per cell.

***

Which is most stable, and by how much? arrangement two, by 47.4 kJ/mol of atoms.

***

Arrangement one

A plane-wave DFT calculation with PBE was carried out for a relaxed Sr2IrOs2 crystal.

The structure belongs to space group P4/mbm (No. 127); the cell edges are 6.652, 6.652 and 5.057 Å and the angles 90.00°, 90.00° and 90.00°. Symmetry generates all atoms from Sr at (0.182, 0.318, 0.000), Ir at (0.000, 0.000, 0.500) and Os at (0.125, 0.625, 0.500).

As for the crystal system: tetragonal. The density of states at the Fermi level is 8.32 states/eV/cell. The calculation puts the volume at 223.77 Å³ per cell.

***

Arrangement two

A plane-wave DFT calculation with PBE was carried out for a relaxed Sr2IrOs2 crystal.

The structure belongs to space group I4/mmm (No. 139); the cell edges are 4.112, 4.112 and 13.623 Å and the angles 90.00°, 90.00° and 90.00°. Symmetry generates all atoms from Sr at (0.000, 0.500, 0.250), Ir at (0.000, 0.000, 0.000) and Os at (0.000, 0.000, 0.417).

As for the crystal system: tetragonal. The density of states at the Fermi level is 11.42 states/eV/cell. The calculation puts the volume at 230.32 Å³ per cell.

***

Which is most stable, and by how much? arrangement one, by 154.0 kJ/mol of atoms.

***

Arrangement one

A plane-wave DFT calculation with PBE was carried out for a relaxed SrIrOs3 crystal.

The structure belongs to space group Pm-3m (No. 221); the cell edges are 4.811, 4.811 and 4.811 Å and the angles 90.00°, 90.00° and 90.00°. Symmetry generates all atoms from Sr at (0.000, 0.000, 0.000), Ir at (0.500, 0.500, 0.500) and Os at (0.000, 0.500, 0.500).

As for the crystal system: cubic. The density of states at the Fermi level is 5.00 states/eV/cell. The calculation puts the volume at 111.35 Å³ per cell.

***

Arrangement two

A plane-wave DFT calculation with PBE was carried out for a relaxed SrIrOs3 crystal.

The structure belongs to space group Pm-3m (No. 221); the cell edges are 4.687, 4.687 and 4.687 Å and the angles 90.00°, 90.00° and 90.00°. Symmetry generates all atoms from Sr at (0.000, 0.000, 0.000), Ir at (0.500, 0.500, 0.500) and Os at (0.000, 0.000, 0.500).

As for the crystal system: cubic. The density of states at the Fermi level is 8.18 states/eV/cell. The calculation puts the volume at 102.99 Å³ per cell.

***

Which is most stable, and by how much? arrangement one, by 227.5 kJ/mol of atoms.